Record 1
VASP calculation (GGA-PBE) on crystalline BaTlTeO6 at its relaxed geometry.

Calculated values
**Formation energy from raw total energies**: -1.282 eV per atom
**SG**: P312
**V**: 157.8 Å³/cell
**Electronic total energy**: -5.413 eV/atom
**Magnetic moment**: 1.07 μB per cell

Cell lengths 5.6494, 5.6494, 5.7098 Å; angles 90.00, 90.00, 120.00 degrees
Positions (direct):
Ba1 0.0000 0.0000 0.0000
Tl1 0.3333 0.6667 0.5000
Te1 0.6667 0.3333 0.5000
O1 0.3991 0.0404 0.7008
O2 0.3991 0.3587 0.2992
O3 0.6413 0.0404 0.2992
O4 0.6413 0.6009 0.7008
O5 0.9596 0.3587 0.7008
O6 0.9596 0.6009 0.2992

Record 2
VASP calculation (GGA-PBE) on crystalline Ba3TlTe2O9 at its relaxed geometry.

Calculated values
**Formation energy from raw total energies**: -1.762 eV per atom
**SG**: P-3m1
**V**: 261.5 Å³/cell
**Electronic total energy**: -5.698 eV/atom
**Magnetic moment**: 0.00 μB per cell

Cell lengths 6.0453, 6.0453, 8.2628 Å; angles 90.00, 90.00, 120.00 degrees
Positions (direct):
Ba1 0.0000 0.0000 0.0000
Ba2 0.3333 0.6667 0.7162
Ba3 0.6667 0.3333 0.2838
Tl1 0.0000 0.0000 0.5000
Te1 0.3333 0.6667 0.1590
Te2 0.6667 0.3333 0.8410
O1 0.0000 0.5000 0.0000
O2 0.1760 0.3521 0.2784
O3 0.1760 0.8240 0.2784
O4 0.3521 0.1760 0.7216
O5 0.5000 0.0000 0.0000
O6 0.5000 0.5000 0.0000
O7 0.6479 0.8240 0.2784
O8 0.8240 0.1760 0.7216
O9 0.8240 0.6479 0.7216

Record 3
VASP calculation (GGA-PBE) on crystalline BaTlTeO4 at its relaxed geometry.

Calculated values
**Formation energy from raw total energies**: -0.861 eV per atom
**SG**: F-43m
**V**: 235.6 Å³/cell
**Electronic total energy**: -4.756 eV/atom
**Magnetic moment**: 0.00 μB per cell

Cell lengths 6.9329, 6.9329, 6.9329 Å; angles 60.00, 60.00, 60.00 degrees
Positions (direct):
Ba1 0.0000 0.0000 0.0000
Tl1 0.7500 0.7500 0.7500
Te1 0.5000 0.5000 0.5000
O1 0.1602 0.6133 0.6133
O2 0.6133 0.1602 0.6133
O3 0.6133 0.6133 0.1602
O4 0.6133 0.6133 0.6133

Record 4
VASP calculation (GGA-PBE) on crystalline BaTl2TeO8 at its relaxed geometry.

Calculated values
**Formation energy from raw total energies**: -1.051 eV per atom
**SG**: P-1
**V**: 185.6 Å³/cell
**Electronic total energy**: -5.172 eV/atom
**Magnetic moment**: 0.00 μB per cell

Cell lengths 5.1990, 5.5532, 6.6276 Å; angles 93.85, 95.99, 101.69 degrees
Positions (direct):
Ba1 0.0000 0.0000 0.0000
Tl1 0.2627 0.4707 0.6744
Tl2 0.7373 0.5293 0.3256
Te1 0.5000 0.0000 0.5000
O1 0.1422 0.5359 0.9942
O2 0.1667 0.7460 0.4606
O3 0.3467 0.2370 0.3471
O4 0.3917 0.1306 0.7528
O5 0.6083 0.8694 0.2472
O6 0.6533 0.7630 0.6529
O7 0.8333 0.2540 0.5394
O8 0.8578 0.4641 0.0058

Record 5
VASP calculation (GGA-PBE) on crystalline BaTl3Te2O9 at its relaxed geometry.

Calculated values
**Formation energy from raw total energies**: -1.037 eV per atom
**SG**: P-3m1
**V**: 249.0 Å³/cell
**Electronic total energy**: -5.032 eV/atom
**Magnetic moment**: 0.00 μB per cell

Cell lengths 5.9073, 5.9073, 8.2400 Å; angles 90.00, 90.00, 120.00 degrees
Positions (direct):
Ba1 0.0000 0.0000 0.0000
Tl1 0.0000 0.0000 0.5000
Tl2 0.3333 0.6667 0.2064
Tl3 0.6667 0.3333 0.7936
Te1 0.3333 0.6667 0.6479
Te2 0.6667 0.3333 0.3521
O1 0.0000 0.5000 0.5000
O2 0.1736 0.3472 0.7635
O3 0.1736 0.8264 0.7635
O4 0.3472 0.1736 0.2365
O5 0.5000 0.0000 0.5000
O6 0.5000 0.5000 0.5000
O7 0.6528 0.8264 0.7635
O8 0.8264 0.1736 0.2365
O9 0.8264 0.6528 0.2365

Record 6
VASP calculation (GGA-PBE) on crystalline BaTl2TeO4 at its relaxed geometry.

Calculated values
**Formation energy from raw total energies**: -1.162 eV per atom
**SG**: Imma
**V**: 311.2 Å³/cell
**Electronic total energy**: -4.866 eV/atom
**Magnetic moment**: 0.00 μB per cell

Cell lengths 7.4893, 7.4893, 7.4893 Å; angles 122.18, 103.25, 103.79 degrees
Positions (direct):
Ba1 0.0000 0.0000 0.0000
Ba2 0.5000 0.0000 0.5000
Tl1 0.0000 0.5000 0.5000
Tl2 0.5000 0.0000 0.0000
Tl3 0.5000 0.5000 0.0000
Tl4 0.5000 0.5000 0.5000
Te1 0.0000 0.0000 0.5000
Te2 0.0000 0.5000 0.0000
O1 0.2192 0.0000 0.7192
O2 0.2193 0.1938 0.4745
O3 0.2192 0.5000 0.2192
O4 0.2193 0.7448 0.0255
O5 0.7808 0.0000 0.2808
O6 0.7807 0.2552 0.9745
O7 0.7808 0.5000 0.7808
O8 0.7807 0.8062 0.5255

Record 7
VASP calculation (GGA-PBE) on crystalline BaTmTeO6 at its relaxed geometry.

Calculated values
**Formation energy from raw total energies**: -2.098 eV per atom
**SG**: P312
**V**: 156.5 Å³/cell
**Electronic total energy**: -6.463 eV/atom
**Magnetic moment**: 1.08 μB per cell

Cell lengths 5.6677, 5.6677, 5.6260 Å; angles 90.00, 90.00, 120.00 degrees
Positions (direct):
Ba1 0.0000 0.0000 0.0000
Tm1 0.3333 0.6667 0.5000
Te1 0.6667 0.3333 0.5000
O1 0.3984 0.0366 0.6970
O2 0.3984 0.3617 0.3030
O3 0.6383 0.0366 0.3030
O4 0.6383 0.6016 0.6970
O5 0.9634 0.3617 0.6970
O6 0.9634 0.6016 0.3030

Record 8
VASP calculation (GGA-PBE) on crystalline BaTm3Te4O12 at its relaxed geometry.

Calculated values
**Formation energy from raw total energies**: -1.954 eV per atom
**SG**: R32
**V**: 344.3 Å³/cell
**Electronic total energy**: -6.325 eV/atom
**Magnetic moment**: 0.00 μB per cell

Cell lengths 7.2866, 7.2866, 7.2866 Å; angles 104.13, 104.13, 104.13 degrees
Positions (direct):
Ba1 0.0000 0.0000 0.0000
Tm1 0.0000 0.5775 0.4225
Tm2 0.4225 0.0000 0.5775
Tm3 0.5775 0.4225 0.0000
Te1 0.0996 0.5000 0.9004
Te2 0.5000 0.5000 0.5000
Te3 0.5000 0.9004 0.0996
Te4 0.9004 0.0996 0.5000
O1 0.0498 0.2840 0.3753
O2 0.0709 0.9291 0.5000
O3 0.2840 0.3753 0.0498
O4 0.3216 0.6784 0.5000
O5 0.3753 0.0498 0.2840
O6 0.5000 0.0709 0.9291
O7 0.5000 0.3216 0.6784
O8 0.6247 0.7160 0.9502
O9 0.6784 0.5000 0.3216
O10 0.7160 0.9502 0.6247
O11 0.9291 0.5000 0.0709
O12 0.9502 0.6247 0.7160

Record 9
VASP calculation (GGA-PBE) on crystalline Ba2TmTe3O12 at its relaxed geometry.

Calculated values
**Formation energy from raw total energies**: -1.791 eV per atom
**SG**: R-3m
**V**: 289.2 Å³/cell
**Electronic total energy**: -6.083 eV/atom
**Magnetic moment**: 0.00 μB per cell

Cell lengths 7.3716, 7.3716, 7.3716 Å; angles 60.93, 60.93, 60.93 degrees
Positions (direct):
Ba1 0.1355 0.1355 0.1355
Ba2 0.8645 0.8645 0.8645
Tm1 0.5000 0.5000 0.5000
Te1 0.0000 0.5000 0.5000
Te2 0.5000 0.0000 0.5000
Te3 0.5000 0.5000 0.0000
O1 0.1343 0.5952 0.5952
O2 0.1894 0.1894 0.5906
O3 0.1894 0.5906 0.1894
O4 0.4048 0.4048 0.8657
O5 0.4048 0.8657 0.4048
O6 0.4094 0.8106 0.8106
O7 0.5906 0.1894 0.1894
O8 0.5952 0.1343 0.5952
O9 0.5952 0.5952 0.1343
O10 0.8106 0.4094 0.8106
O11 0.8106 0.8106 0.4094
O12 0.8657 0.4048 0.4048

Record 10
VASP calculation (GGA-PBE) on crystalline BaUTeO2 at its relaxed geometry.

Calculated values
**Formation energy from raw total energies**: -2.466 eV per atom
**SG**: Cmcm
**V**: 240.9 Å³/cell
**Electronic total energy**: -7.719 eV/atom
**Magnetic moment**: 4.00 μB per cell

Cell lengths 7.4049, 7.4049, 5.7620 Å; angles 90.00, 90.00, 130.32 degrees
Positions (direct):
Ba1 0.1120 0.8880 0.7500
Ba2 0.8880 0.1120 0.2500
U1 0.4257 0.5743 0.7500
U2 0.5743 0.4257 0.2500
Te1 0.2544 0.7456 0.2500
Te2 0.7456 0.2544 0.7500
O1 0.2900 0.2900 0.0000
O2 0.2900 0.2900 0.5000
O3 0.7100 0.7100 0.0000
O4 0.7100 0.7100 0.5000

Record 11
VASP calculation (GGA-PBE) on crystalline Ba2UTe2O2 at its relaxed geometry.

Calculated values
**Formation energy from raw total energies**: -2.156 eV per atom
**SG**: I4/mmm
**V**: 193.0 Å³/cell
**Electronic total energy**: -6.632 eV/atom
**Magnetic moment**: 2.00 μB per cell

Cell lengths 9.6096, 9.6096, 9.6096 Å; angles 152.17, 152.17, 39.77 degrees
Positions (direct):
Ba1 0.1224 0.1224 0.0000
Ba2 0.8776 0.8776 0.0000
U1 0.5000 0.5000 0.0000
Te1 0.3267 0.3267 0.0000
Te2 0.6733 0.6733 0.0000
O1 0.0000 0.5000 0.5000
O2 0.5000 0.0000 0.5000

Record 12
VASP calculation (GGA-PBE) on crystalline BaUTeO6 at its relaxed geometry.

Calculated values
**Formation energy from raw total energies**: -2.410 eV per atom
**SG**: P-31c
**V**: 330.0 Å³/cell
**Electronic total energy**: -7.532 eV/atom
**Magnetic moment**: 0.00 μB per cell

Cell lengths 5.8052, 5.8052, 11.3068 Å; angles 90.00, 90.00, 120.00 degrees
Positions (direct):
Ba1 0.0000 0.0000 0.0000
Ba2 0.0000 0.0000 0.5000
U1 0.3333 0.6667 0.2500
U2 0.6667 0.3333 0.7500
Te1 0.3333 0.6667 0.7500
Te2 0.6667 0.3333 0.2500
O1 0.0089 0.3804 0.1503
O2 0.0089 0.6285 0.3497
O3 0.3715 0.3804 0.3497
O4 0.3715 0.9911 0.1503
O5 0.3804 0.0089 0.6503
O6 0.3804 0.3715 0.8497
O7 0.6196 0.6285 0.1503
O8 0.6196 0.9911 0.3497
O9 0.6285 0.0089 0.8497
O10 0.6285 0.6196 0.6503
O11 0.9911 0.3715 0.6503
O12 0.9911 0.6196 0.8497

What is the formula in the twelfth record? BaUTeO6